! PBE Dy8NiSn2, optimized geometry; values from VASP
&SYSTEM
  ibrav = 0, nat = 11, ntyp = 3
/
ATOMIC_SPECIES
Dy 162.50 Dy.upf
Ni 58.69 Ni.upf
Sn 118.71 Sn.upf
CELL_PARAMETERS angstrom
9.4807 -2.4547 0.0000
9.4807 2.4547 0.0000
-1.5120 0.0000 6.5586
ATOMIC_POSITIONS angstrom
Dy -0.1409 0.0000 1.8460
Dy 2.8635 0.0000 5.3912
Dy 6.0249 0.0000 3.2374
Dy 7.7061 0.0000 0.1539
Dy 9.7432 0.0000 6.4048
Dy 11.4244 0.0000 3.3212
Dy 14.5858 0.0000 1.1675
Dy 17.5902 0.0000 4.7127
Ni 8.7246 0.0000 3.2793
Sn 3.0609 0.0000 1.7352
Sn 14.3884 0.0000 4.8234
! E_tot in eV per atom: -4.944
! Magnetic moment in μB/cell: 0.0
! Crystal system: monoclinic
! D(E_F) in states/eV/cell: 9.8